# GGA-PBE CePm5Te6, relaxed
data_CePm5Te6
_symmetry_space_group_name_H-M 'C 1 2/m 1'
_symmetry_Int_Tables_number 12
_symmetry_space_group_name_Hall '-C 2y'
_cell_length_a 7.708
_cell_length_b 13.414
_cell_length_c 7.774
_cell_angle_alpha 90.00
_cell_angle_beta 109.45
_cell_angle_gamma 90.00
loop_
_atom_site_label
_atom_site_type_symbol
_atom_site_fract_x
_atom_site_fract_y
_atom_site_fract_z
_atom_site_occupancy
Ce1 Ce 0.000 0.000 0.000 1
Pm1 Pm 0.000 0.170 0.500 1
Pm2 Pm 0.000 0.332 0.000 1
Pm3 Pm 0.000 0.500 0.500 1
Te1 Te 0.250 0.000 0.749 1
Te2 Te 0.250 0.166 0.250 1
# total energy = -5.450 eV per atom
# energy relative to the elements, uncorrected = -1.4053 eV/atom

=====

# GGA-PBE CePm3Te4, relaxed
data_CePm3Te4
_symmetry_space_group_name_H-M 'C m m m'
_symmetry_Int_Tables_number 65
_symmetry_space_group_name_Hall '-C 2 2'
_cell_length_a 9.019
_cell_length_b 12.643
_cell_length_c 4.437
_cell_angle_alpha 90.00
_cell_angle_beta 90.00
_cell_angle_gamma 90.00
loop_
_atom_site_label
_atom_site_type_symbol
_atom_site_fract_x
_atom_site_fract_y
_atom_site_fract_z
_atom_site_occupancy
Ce1 Ce 0.000 0.000 0.000 1
Pm1 Pm 0.000 0.500 0.000 1
Pm2 Pm 0.250 0.250 0.500 1
Te1 Te 0.000 0.250 0.000 1
Te2 Te 0.249 0.500 0.500 1
# total energy = -5.496 eV per atom
# energy relative to the elements, uncorrected = -1.4021 eV/atom

=====

# GGA-PBE CePm2Te4, relaxed
data_CePm2Te4
_symmetry_space_group_name_H-M 'C 1 2/m 1'
_symmetry_Int_Tables_number 12
_symmetry_space_group_name_Hall '-C 2y'
_cell_length_a 16.888
_cell_length_b 4.472
_cell_length_c 7.775
_cell_angle_alpha 90.00
_cell_angle_beta 116.32
_cell_angle_gamma 90.00
loop_
_atom_site_label
_atom_site_type_symbol
_atom_site_fract_x
_atom_site_fract_y
_atom_site_fract_z
_atom_site_occupancy
Ce1 Ce 0.000 0.000 0.000 1
Pm1 Pm 0.240 0.500 0.729 1
Te1 Te 0.124 0.000 0.451 1
Te2 Te 0.133 0.500 0.980 1
# total energy = -5.378 eV per atom
# energy relative to the elements, uncorrected = -1.3777 eV/atom

=====

# GGA-PBE CePm4Te5, relaxed
data_CePm4Te5
_symmetry_space_group_name_H-M 'I 4/m'
_symmetry_Int_Tables_number 87
_symmetry_space_group_name_Hall '-I 4'
_cell_length_a 9.989
_cell_length_b 9.989
_cell_length_c 6.331
_cell_angle_alpha 90.00
_cell_angle_beta 90.00
_cell_angle_gamma 90.00
loop_
_atom_site_label
_atom_site_type_symbol
_atom_site_fract_x
_atom_site_fract_y
_atom_site_fract_z
_atom_site_occupancy
Ce1 Ce 0.000 0.000 0.000 1
Pm1 Pm 0.097 0.701 0.500 1
Te1 Te 0.000 0.000 0.500 1
Te2 Te 0.100 0.701 0.000 1
# total energy = -5.469 eV per atom
# energy relative to the elements, uncorrected = -1.4042 eV/atom

=====

What did the third record say?
# GGA-PBE CePm2Te4, relaxed
data_CePm2Te4
_symmetry_space_group_name_H-M 'C 1 2/m 1'
_symmetry_Int_Tables_number 12
_symmetry_space_group_name_Hall '-C 2y'
_cell_length_a 16.888
_cell_length_b 4.472
_cell_length_c 7.775
_cell_angle_alpha 90.00
_cell_angle_beta 116.32
_cell_angle_gamma 90.00
loop_
_atom_site_label
_atom_site_type_symbol
_atom_site_fract_x
_atom_site_fract_y
_atom_site_fract_z
_atom_site_occupancy
Ce1 Ce 0.000 0.000 0.000 1
Pm1 Pm 0.240 0.500 0.729 1
Te1 Te 0.124 0.000 0.451 1
Te2 Te 0.133 0.500 0.980 1
# total energy = -5.378 eV per atom
# energy relative to the elements, uncorrected = -1.3777 eV/atom

=====

total energy of number 3 (CePm2Te4)? -5.378 eV per atom

=====

Among the records above, which one has the lowest total energy? CePm3Te4